# 1
# Cd2PtCCl, relaxed, DFT GGA-PBE
# E_form (uncorrected) (eV per atom): 1.43
# ρ (g cm⁻³): 7.86
data_Cd2PtCCl
_symmetry_space_group_name_H-M 'P 4/m m m'
_symmetry_Int_Tables_number 123
_symmetry_space_group_name_Hall '-P 4 2'
_cell_length_a 5.346
_cell_length_b 5.346
_cell_length_c 3.455
_cell_angle_alpha 90.00
_cell_angle_beta 90.00
_cell_angle_gamma 90.00
loop_
_atom_site_label
_atom_site_type_symbol
_atom_site_fract_x
_atom_site_fract_y
_atom_site_fract_z
Cd1 Cd 0.000 0.500 0.000
Pt1 Pt 0.000 0.000 0.500
C1 C 0.500 0.500 0.500
Cl1 Cl 0.500 0.500 0.000

# 2
# GaCo3Si, relaxed, DFT GGA-PBE
# E_form (uncorrected) (eV per atom): 1.05
# ρ (g cm⁻³): 5.85
# Relative energy among the computed polymorphs (eV/f.u.): 5.93
data_GaCo3Si
_symmetry_space_group_name_H-M 'P m -3 m'
_symmetry_Int_Tables_number 221
_symmetry_space_group_name_Hall '-P 4 2 3'
_cell_length_a 4.273
_cell_length_b 4.273
_cell_length_c 4.273
_cell_angle_alpha 90.00
_cell_angle_beta 90.00
_cell_angle_gamma 90.00
loop_
_atom_site_label
_atom_site_type_symbol
_atom_site_fract_x
_atom_site_fract_y
_atom_site_fract_z
Ga1 Ga 0.000 0.000 0.000
Co1 Co 0.000 0.000 0.500
Si1 Si 0.500 0.500 0.500